[1]
Here is an optimized crystal structure of InMo2Br from Alexandria. Energies are from PBE.

Summary:
raw formation energy: 0.775 eV/atom
symmetry: C2/m
distance to the lowest polymorph of the same formula: 510 meV/atom
crystal system: monoclinic

abc: 4.9872 4.9872 5.2542
angles: 77.14 77.14 35.13
Fractional positions:
Mo: 0.9983 0.9983 0.0057
Br: 0.2500 0.2500 0.2500
In: 0.7500 0.7500 0.7500
Mo: 0.5017 0.5017 0.4943

=====

[2]
Here is an optimized crystal structure of LaDyAgRh from Alexandria. Energies are from PBE.

Summary:
symmetry: F-43m
crystal system: cubic

abc: 5.1166 5.1166 5.1166
angles: 60.00 60.00 60.00
Fractional positions:
Dy: 0.7500 0.7500 0.7500
Rh: 0.0000 0.0000 0.0000
La: 0.2500 0.2500 0.2500
Ag: 0.5000 0.5000 0.5000

=====

[3]
Here is an optimized crystal structure of Cs4Ge3PbCl12 from Alexandria. Energies are from PBE.

Summary:
raw formation energy: -1.371 eV/atom
symmetry: Im-3m
crystal system: cubic

abc: 9.4229 9.4229 9.4229
angles: 109.47 109.47 109.47
Fractional positions:
Cl: 0.2500 0.5000 0.7500
Cl: 0.2603 0.0000 0.2603
Cs: 0.0000 0.5000 0.0000
Cl: 0.0000 0.2603 0.2603
Cl: 0.7397 0.0000 0.7397
Cl: 0.2603 0.2603 0.0000
Cs: 0.0000 0.0000 0.5000
Pb: 0.0000 0.0000 0.0000
Ge: 0.5000 0.5000 0.0000
Cl: 0.7500 0.2500 0.5000
Cl: 0.7500 0.5000 0.2500
Cs: 0.5000 0.0000 0.0000
Cl: 0.5000 0.7500 0.2500
Cl: 0.2500 0.7500 0.5000
Cs: 0.5000 0.5000 0.5000
Ge: 0.5000 0.0000 0.5000
Cl: 0.5000 0.2500 0.7500
Cl: 0.0000 0.7397 0.7397
Ge: 0.0000 0.5000 0.5000
Cl: 0.7397 0.7397 0.0000

=====

[4]
Here is an optimized crystal structure of KEuMg2 from Alexandria. Energies are from PBE.

Summary:
symmetry: P4/mmm
crystal system: tetragonal

abc: 4.0660 4.0660 9.0575
angles: 90.00 90.00 90.00
Fractional positions:
Mg: 0.0000 0.0000 0.2098
Eu: 0.5000 0.5000 0.0000
K: 0.5000 0.5000 0.5000
Mg: 0.0000 0.0000 0.7902

=====

What are the final energy values for these records? In order: -23.0 -21.7 -70.6 -14.2 eV for the cell shown.